## CoRhS2 (PBE)

Data for crystalline CoRhS2 at its relaxed geometry.

abc: 4.2139 4.2139 4.2139
angles: 60.00 60.00 60.00
Closest atoms and distances in Å follow each position.
Element x y z (fractional)
Co 0.0000 0.0000 0.0000  8 S 2.58
Rh 0.5000 0.5000 0.5000  8 S 2.58
S 0.2500 0.2500 0.2500  4 Co 2.58, 4 Rh 2.58
S 0.7500 0.7500 0.7500  4 Co 2.58, 4 Rh 2.58

Properties
Formation energy from raw total energies, meV per atom: 147
Total magnetic moment, μB per formula unit: 1.5
SG: No. 225
DOS(E_F), states/eV/atom: 1.40



## CoRhS2 (PBE)

Data for crystalline CoRhS2 at its relaxed geometry.

abc: 6.2054 6.2054 6.2054
angles: 130.85 130.85 72.05
Closest atoms and distances in Å follow each position.
Element x y z (fractional)
Co 0.0000 0.0000 0.0000  4 S 2.14
Co 0.7500 0.2500 0.5000  4 S 2.14
Rh 0.2500 0.7500 0.5000  4 S 2.29
Rh 0.5000 0.5000 0.0000  4 S 2.29
S 0.1000 0.6250 0.9750  2 Co 2.14, 2 Rh 2.29
S 0.3750 0.3500 0.4750  2 Co 2.14, 2 Rh 2.29
S 0.6500 0.1250 0.0250  2 Co 2.14, 2 Rh 2.29
S 0.8750 0.9000 0.5250  2 Co 2.14, 2 Rh 2.29

Properties
Formation energy from raw total energies, meV per atom: -284
Total magnetic moment, μB per formula unit: 0.0
SG: No. 122
DOS(E_F), states/eV/atom: 0.82



## Ta2CoRhS (PBE)

Data for crystalline Ta2CoRhS at its relaxed geometry.

abc: 4.8628 4.8628 4.3052
angles: 90.00 90.00 90.00
Closest atoms and distances in Å follow each position.
Element x y z (fractional)
Ta 0.0000 0.5000 0.0000  2 Rh 2.43
Ta 0.5000 0.0000 0.0000  2 Rh 2.43
Co 0.0000 0.0000 0.5000  8 Ta 3.25, 4 S 3.44
Rh 0.5000 0.5000 0.0000  2 S 2.15
S 0.5000 0.5000 0.5000  2 Rh 2.15

Properties
Formation energy from raw total energies, meV per atom: 1390
Total magnetic moment, μB per formula unit: 1.6
SG: No. 123
DOS(E_F), states/eV/atom: 1.22



## TlCoRhS3 (PBE)

Data for crystalline TlCoRhS3 at its relaxed geometry.

abc: 7.7612 3.5867 9.3607
angles: 90.00 112.71 90.00
Closest atoms and distances in Å follow each position.
Element x y z (fractional)
Tl 0.0105 0.2500 0.2872  6 S 3.15-3.35
Tl 0.9895 0.7500 0.7128  6 S 3.15-3.35
Co 0.4784 0.7500 0.3942  4 S 2.19-2.22
Co 0.5216 0.2500 0.6058  4 S 2.19-2.22
Rh 0.4727 0.2500 0.1598  6 S 2.40-2.46
Rh 0.5273 0.7500 0.8402  6 S 2.40-2.46
S 0.2627 0.7500 0.1596  1 Co 2.19, 2 Rh 2.42
S 0.3401 0.7500 0.5598  3 Co 2.20-2.22, 1 Rh 2.46
S 0.3431 0.2500 0.8818  3 Rh 2.40-2.42
S 0.6569 0.7500 0.1182  3 Rh 2.40-2.42
S 0.6599 0.2500 0.4402  3 Co 2.20-2.22, 1 Rh 2.46
S 0.7373 0.2500 0.8404  1 Co 2.19, 2 Rh 2.42

Properties
Formation energy from raw total energies, meV per atom: -379
Total magnetic moment, μB per formula unit: 1.5
SG: No. 11
DOS(E_F), states/eV/atom: 0.46



## CoSbRh2 (PBE)

Data for crystalline CoSbRh2 at its relaxed geometry.

abc: 3.3615 3.3615 5.5207
angles: 90.00 90.00 90.00
Closest atoms and distances in Å follow each position.
Element x y z (fractional)
Co 0.0000 0.0000 0.0000  5 Rh 2.56-2.64
Sb 0.5000 0.5000 0.7012  6 Rh 2.61-2.91, 4 Co 2.89
Rh 0.0000 0.0000 0.4784  2 Co 2.64-2.88, 4 Sb 2.68, 4 Rh 2.91
Rh 0.5000 0.5000 0.1744  4 Co 2.56, 1 Sb 2.61

Properties
Formation energy from raw total energies, meV per atom: 58
Total magnetic moment, μB per formula unit: 2.6
SG: No. 99
DOS(E_F), states/eV/atom: 1.23



## CoSbRh2 (PBE)

Data for crystalline CoSbRh2 at its relaxed geometry.

abc: 4.5822 4.5822 4.6713
angles: 102.39 102.39 39.44
Closest atoms and distances in Å follow each position.
Element x y z (fractional)
Co 0.0000 0.0000 0.0000  6 Rh 2.65-2.66, 4 Sb 2.80
Sb 0.5000 0.5000 0.5000  6 Rh 2.70-2.74, 4 Co 2.80
Rh 0.2536 0.2536 0.7674  3 Co 2.65-2.66, 4 Rh 2.68-2.93, 3 Sb 2.70-2.74
Rh 0.7464 0.7464 0.2326  3 Co 2.65-2.66, 4 Rh 2.68-2.93, 3 Sb 2.70-2.74

Properties
Formation energy from raw total energies, meV per atom: -28
Total magnetic moment, μB per formula unit: 1.9
SG: No. 12
DOS(E_F), states/eV/atom: 1.10



## CoSb8Rh2 (PBE)

Data for crystalline CoSb8Rh2 at its relaxed geometry.

abc: 5.3508 7.2070 7.7475
angles: 109.46 90.48 90.45
Closest atoms and distances in Å follow each position.
Element x y z (fractional)
Co 0.0000 0.0000 0.0000  6 Sb 2.51-2.54
Sb 0.2512 0.4148 0.6039  3 Rh 2.67-2.76
Sb 0.2705 0.8595 0.7202  1 Co 2.54, 1 Rh 2.65
Sb 0.2886 0.2960 0.1051  1 Co 2.52, 1 Rh 2.63
Sb 0.2963 0.8494 0.1673  1 Co 2.51, 1 Rh 2.58
Sb 0.7037 0.1506 0.8327  1 Co 2.51, 1 Rh 2.58
Sb 0.7114 0.7040 0.8949  1 Co 2.52, 1 Rh 2.63
Sb 0.7296 0.1405 0.2798  1 Co 2.54, 1 Rh 2.65
Sb 0.7488 0.5852 0.3961  3 Rh 2.67-2.76
Rh 0.2406 0.6339 0.3713  6 Sb 2.58-2.76
Rh 0.7594 0.3661 0.6287  6 Sb 2.58-2.76

Properties
Formation energy from raw total energies, meV per atom: -73
Total magnetic moment, μB per formula unit: 0.0
SG: No. 2
DOS(E_F), states/eV/atom: 0.54



## CoSbRh2 (PBE)

Data for crystalline CoSbRh2 at its relaxed geometry.

abc: 4.3981 4.3981 4.3981
angles: 60.00 60.00 60.00
Closest atoms and distances in Å follow each position.
Element x y z (fractional)
Co 0.0000 0.0000 0.0000  4 Sb 2.69, 4 Rh 2.69
Sb 0.2500 0.2500 0.2500  4 Co 2.69, 4 Rh 2.69
Rh 0.5000 0.5000 0.5000  4 Sb 2.69, 4 Rh 2.69
Rh 0.7500 0.7500 0.7500  4 Co 2.69, 4 Rh 2.69

Properties
Formation energy from raw total energies, meV per atom: 20
Total magnetic moment, μB per formula unit: 1.8
SG: No. 216
DOS(E_F), states/eV/atom: 1.63